(1)
Below is a geometry-optimized VCoB2 structure, with properties calculated at the PBE level.

a b c (Å): 5.167 5.167 5.167
angles (deg): 90.00 90.00 90.00
Space group Fm-3m (No. 225)
Symmetry-distinct sites (fractional):
V: 0.000 0.000 0.000 x4
Co: 0.000 0.000 0.500 x4
B: 0.250 0.250 0.250 x8

Summary:
Final energy, eV for the cell shown: -118.177



(2)
Below is a geometry-optimized V3CoB structure, with properties calculated at the PBE level.

a b c (Å): 4.207 4.207 4.207
angles (deg): 90.00 90.00 90.00
Space group Pm-3m (No. 221)
Symmetry-distinct sites (fractional):
V: 0.000 0.000 0.500 x3
Co: 0.000 0.000 0.000 x1
B: 0.500 0.500 0.500 x1

Summary:
Energy relative to the lowest polymorph listed for this composition, eV/f.u.: 5.62



(3)
Below is a geometry-optimized VCo8B2 structure, with properties calculated at the PBE level.

a b c (Å): 6.266 9.381 3.933
angles (deg): 90.00 105.82 90.00
Space group C2/m (No. 12)
Symmetry-distinct sites (fractional):
V: 0.000 0.000 0.000 x2
Co: 0.000 0.251 0.000 x4
Co: 0.103 0.500 0.802 x4
Co: 0.200 0.128 0.590 x8
B: 0.000 0.313 0.500 x4

Summary:
Final energy, eV for the cell shown: -160.705



(4)
Below is a geometry-optimized V4Co2B structure, with properties calculated at the PBE level.

a b c (Å): 3.917 3.917 11.706
angles (deg): 90.00 90.00 90.00
Space group I4/mmm (No. 139)
Symmetry-distinct sites (fractional):
V: 0.000 0.000 0.182 x4
V: 0.000 0.500 0.000 x4
Co: 0.000 0.000 0.364 x4
B: 0.000 0.000 0.000 x2

Summary:
Final energy, eV for the cell shown: -111.447



(5)
Below is a geometry-optimized VCo3B structure, with properties calculated at the PBE level.

a b c (Å): 3.758 3.758 3.758
angles (deg): 90.00 90.00 90.00
Space group Pm-3m (No. 221)
Symmetry-distinct sites (fractional):
V: 0.000 0.000 0.000 x1
Co: 0.000 0.500 0.500 x3
B: 0.500 0.500 0.500 x1

Summary:
Energy relative to the lowest polymorph listed for this composition, eV/f.u.: 0.22



(6)
Below is a geometry-optimized Co2B2W structure, with properties calculated at the PBE level.

a b c (Å): 3.579 3.579 7.596
angles (deg): 90.00 90.00 90.00
Space group I4/mmm (No. 139)
Symmetry-distinct sites (fractional):
Co: 0.000 0.000 0.145 x4
B: 0.000 0.500 0.250 x4
W: 0.000 0.000 0.500 x2

Summary:
Energy relative to the lowest polymorph listed for this composition, eV/f.u.: 1.61



Please write out number 3 again, unchanged.
Below is a geometry-optimized VCo8B2 structure, with properties calculated at the PBE level.

a b c (Å): 6.266 9.381 3.933
angles (deg): 90.00 105.82 90.00
Space group C2/m (No. 12)
Symmetry-distinct sites (fractional):
V: 0.000 0.000 0.000 x2
Co: 0.000 0.251 0.000 x4
Co: 0.103 0.500 0.802 x4
Co: 0.200 0.128 0.590 x8
B: 0.000 0.313 0.500 x4

Summary:
Final energy, eV for the cell shown: -160.705